# 1
Compound: HoHg2Bi
Source: Alexandria
Functional: GGA-PBE
Structure: optimized geometry

Properties
Crystal system   tetragonal
Total energy   -10.59 eV/cell
Energy of formation   -0.383 eV per atom

Unit cell a=4.534 b=4.534 c=5.057 alpha=90.00 beta=90.00 gamma=90.00
Fractional positions:
Ho: 0.000 0.000 0.000
Hg: 0.000 0.500 0.500
Hg: 0.500 0.000 0.500
Bi: 0.500 0.500 0.000


# 2
Compound: CrCu2
Source: Alexandria
Functional: GGA-PBE
Structure: optimized geometry

Properties
Crystal system   hexagonal
Total energy   -33.37 eV/cell
Energy of formation   0.377 eV per atom

Unit cell a=4.254 b=4.254 c=5.080 alpha=90.00 beta=90.00 gamma=120.00
Fractional positions:
Cr: 0.333 0.667 0.250
Cr: 0.667 0.333 0.750
Cu: 0.000 0.000 0.000
Cu: 0.000 0.000 0.500
Cu: 0.333 0.667 0.750
Cu: 0.667 0.333 0.250


# 3
Compound: Y2ErPb3
Source: Alexandria
Functional: GGA-PBE
Structure: optimized geometry

Properties
Crystal system   monoclinic
Total energy   -63.37 eV/cell
Energy of formation   -0.511 eV per atom

Unit cell a=9.039 b=9.039 c=6.398 alpha=100.23 beta=100.23 gamma=41.41
Fractional positions:
Y: 0.041 0.292 0.085
Y: 0.292 0.041 0.585
Y: 0.708 0.959 0.415
Y: 0.959 0.708 0.915
Er: 0.377 0.623 0.750
Er: 0.623 0.377 0.250
Pb: 0.124 0.876 0.250
Pb: 0.209 0.459 0.417
Pb: 0.459 0.209 0.917
Pb: 0.541 0.791 0.083
Pb: 0.791 0.541 0.583
Pb: 0.876 0.124 0.750